Zn3CrF: relaxed, GGA+U.

a b c (Å): 5.071 5.071 5.071
angles (deg): 90.00 90.00 90.00
Fractional coordinates of all 5 atoms:
Cr: 0.000 0.000 0.000
Zn: 0.000 0.500 0.000
Zn: 0.000 0.000 0.500
Zn: 0.500 0.000 0.000
F: 0.500 0.500 0.500

Output
- Relative energy among the computed polymorphs: 0 meV per atom
- Uncorrected energy: -2.3898 eV/atom
- Calculated density: 3.40 g cm⁻³